A plane-wave DFT calculation with GGA-PBEsol was carried out for an optimized crystal structure of ZrHg2Pb.

Values from the calculation:
As for the formation enthalpy at 0 K: -0.6 eV/f.u. The value obtained for the density of states at the Fermi level is 1.992 states/eV per cell.

abc: 4.3356 4.3356 4.6653
angles: 90.00 90.00 90.00
Closest atoms and distances in Å follow each position.
Fractional positions:
Zr: 0.0000 0.0000 0.0000  4 Pb 3.07, 8 Hg 3.18
Hg: 0.0000 0.5000 0.5000  4 Hg 3.07, 4 Pb 3.18, 4 Zr 3.18
Hg: 0.5000 0.0000 0.5000  4 Hg 3.07, 4 Pb 3.18, 4 Zr 3.18
Pb: 0.5000 0.5000 0.0000  4 Zr 3.07, 8 Hg 3.18